No. 1
A geometry-optimized Li2ReSb structure. Source: Alexandria via LeMat-Bulk, functional PBE.

POSCAR file:
```
Li2ReSb
1.0
2.864 0.000 0.000
0.000 4.623 0.000
-1.352 0.000 5.073
Li Re Sb
2 1 1
Cartesian
0.315 0.000 1.129
1.197 0.000 3.944
1.432 2.311 0.000
-0.676 2.311 2.537
```

No. 2
A geometry-optimized LiScReSb2 structure. Source: Alexandria via LeMat-Bulk, functional PBE.

POSCAR file:
```
LiScReSb2
1.0
4.768 0.000 0.000
0.000 4.768 0.000
0.000 0.000 4.341
Li Sc Re Sb
1 1 1 2
Cartesian
0.000 0.000 0.000
2.384 2.384 2.170
0.000 0.000 2.170
0.000 2.384 0.000
2.384 0.000 0.000
```

No. 3
A geometry-optimized LiRe2SbSe structure. Source: Alexandria via LeMat-Bulk, functional PBE.

POSCAR file:
```
LiRe2SbSe
1.0
4.447 0.000 0.000
0.000 4.447 0.000
0.000 0.000 4.205
Li Re Sb Se
1 2 1 1
Cartesian
0.000 0.000 0.000
0.000 2.224 0.000
2.224 0.000 0.000
0.000 0.000 2.103
2.224 2.224 2.103
```

no.,calculated total energy (eV per cell)
1,-19.310
2,-25.843
3,-26.790